(1)
## PrTm5P6 (PBE)

Data for PrTm5P6 after structural relaxation.

a b c (Å): 6.9181 6.9181 6.9174
angles (deg): 99.62 99.62 119.98
Positions (direct):
Pr  0.0000  0.0000  0.0000
Tm  0.1649  0.8351  0.5000
Tm  0.3328  0.6672  0.0000
Tm  0.5000  0.5000  0.5000
Tm  0.6672  0.3328  0.0000
Tm  0.8351  0.1649  0.5000
P  0.0852  0.4269  0.2555
P  0.2570  0.2570  0.7455
P  0.4269  0.0852  0.2555
P  0.5731  0.9148  0.7445
P  0.7430  0.7430  0.2545
P  0.9148  0.5731  0.7445

Its density is 7.20 g/cm3. Its total energy is -78.50 eV for the cell shown. The total moment is 0.0 μB/cell. The value obtained for the formation energy is -1.58 eV/atom.

(2)
## SrMgSi2 (PBE)

Data for SrMgSi2 after structural relaxation.

a b c (Å): 5.6878 5.6878 5.6878
angles (deg): 134.88 134.88 65.71
Positions (direct):
Sr  0.0000  0.0000  0.0000
Mg  0.2500  0.7500  0.5000
Si  0.5000  0.5000  0.0000
Si  0.7500  0.2500  0.5000

Its density is 3.07 g/cm3. Its total energy is -13.50 eV for the cell shown. The total moment is 0.0 μB/cell.

(3)
## Pa2TcSn (PBE)

Data for Pa2TcSn after structural relaxation.

a b c (Å): 4.3962 4.3962 4.4800
angles (deg): 90.00 90.00 90.00
Positions (direct):
Pa  0.0000  0.5000  0.0000
Pa  0.5000  0.0000  0.0000
Tc  0.0000  0.0000  0.5000
Sn  0.5000  0.5000  0.5000

Its density is 13.02 g/cm3. Its total energy is -34.05 eV for the cell shown. As for the energy above the most stable polymorph in this dataset: 128 meV/atom. The total moment is 0.0 μB/cell. The value obtained for the formation energy is -0.17 eV/atom.

(4)
## SrSmZn (PBE)

Data for SrSmZn after structural relaxation.

a b c (Å): 4.0402 4.0402 12.6842
angles (deg): 90.00 90.00 90.00
Positions (direct):
Sr  0.2500  0.2500  0.1284
Sr  0.7500  0.7500  0.8716
Sm  0.2500  0.2500  0.6597
Sm  0.7500  0.7500  0.3403
Zn  0.2500  0.2500  0.4244
Zn  0.7500  0.7500  0.5756

Its density is 4.87 g/cm3. Its total energy is -15.39 eV for the cell shown. As for the energy above the most stable polymorph in this dataset: 116 meV/atom. The total moment is 0.0 μB/cell. The value obtained for the formation energy is -0.01 eV/atom.

(5)
## MgTcP2Cl (PBE)

Data for MgTcP2Cl after structural relaxation.

a b c (Å): 4.8625 4.8625 4.6560
angles (deg): 90.00 90.00 90.00
Positions (direct):
Mg  0.0000  0.0000  0.0000
Tc  0.5000  0.5000  0.5000
P  0.0000  0.5000  0.0000
P  0.5000  0.0000  0.0000
Cl  0.0000  0.0000  0.5000

Its density is 3.31 g/cm3. Its total energy is -19.89 eV for the cell shown. As for the energy above the most stable polymorph in this dataset: 841 meV/atom. The total moment is 3.5 μB/cell.

(6)
## Tb4Y7Mg (PBE)

Data for Tb4Y7Mg after structural relaxation.

a b c (Å): 8.5880 8.5880 9.3295
angles (deg): 115.34 115.34 39.83
Positions (direct):
Tb  0.0963  0.0963  0.4751
Tb  0.2341  0.2341  0.2730
Tb  0.7659  0.7659  0.7270
Tb  0.9037  0.9037  0.5249
Y  0.0000  0.0000  0.0000
Y  0.2128  0.2128  0.8939
Y  0.3370  0.3370  0.6664
Y  0.4371  0.4371  0.2788
Y  0.5629  0.5629  0.7212
Y  0.6630  0.6630  0.3336
Y  0.7872  0.7872  0.1061
Mg  0.5000  0.5000  0.0000

Its density is 5.43 g/cm3. Its total energy is -62.86 eV for the cell shown. As for the energy above the most stable polymorph in this dataset: 99 meV/atom. The total moment is 0.0 μB/cell. The value obtained for the formation energy is 0.21 eV/atom.

(7)
## YCd2In2 (PBE)

Data for YCd2In2 after structural relaxation.

a b c (Å): 8.3342 8.3342 3.6623
angles (deg): 90.00 90.00 90.00
Positions (direct):
Y  0.0000  0.0000  0.0000
Y  0.5000  0.5000  0.0000
Cd  0.1230  0.3770  0.0000
Cd  0.3770  0.8770  0.0000
Cd  0.6230  0.1230  0.0000
Cd  0.8770  0.6230  0.0000
In  0.1787  0.6787  0.5000
In  0.3213  0.1787  0.5000
In  0.6787  0.8213  0.5000
In  0.8213  0.3213  0.5000

Its density is 7.09 g/cm3. Its total energy is -28.83 eV for the cell shown. As for the energy above the most stable polymorph in this dataset: 43 meV/atom. The total moment is 0.0 μB/cell. The value obtained for the formation energy is -0.13 eV/atom.

(8)
## Tm4MnCd (PBE)

Data for Tm4MnCd after structural relaxation.

a b c (Å): 7.6554 7.6554 5.9168
angles (deg): 99.70 99.70 111.35
Positions (direct):
Tm  0.0638  0.7276  0.9524
Tm  0.1992  0.3601  0.6163
Tm  0.2724  0.9362  0.5476
Tm  0.3601  0.1992  0.1163
Tm  0.6399  0.8008  0.8837
Tm  0.7276  0.0638  0.4524
Tm  0.8008  0.6399  0.3837
Tm  0.9362  0.2724  0.0476
Mn  0.0010  0.9990  0.7500
Mn  0.9990  0.0010  0.2500
Cd  0.3751  0.6249  0.2500
Cd  0.6249  0.3751  0.7500

Its density is 9.09 g/cm3. Its total energy is -56.70 eV for the cell shown. The total moment is 1.3 μB/cell. The value obtained for the formation energy is -0.06 eV/atom.

(9)
## SrSiRu (PBE)

Data for SrSiRu after structural relaxation.

a b c (Å): 4.5401 4.5401 4.5401
angles (deg): 60.00 60.00 60.00
Positions (direct):
Sr  0.0000  0.0000  0.0000
Si  0.5000  0.5000  0.5000
Ru  0.2500  0.2500  0.2500

Its density is 5.44 g/cm3. Its total energy is -15.47 eV for the cell shown. The total moment is 0.0 μB/cell.

(10)
## Pa3Ga2Co7 (PBE)

Data for Pa3Ga2Co7 after structural relaxation.

a b c (Å): 12.0251 12.0251 12.0251
angles (deg): 160.87 160.87 27.18
Positions (direct):
Pa  0.0000  0.0000  0.0000
Pa  0.1695  0.1695  0.0000
Pa  0.8305  0.8305  0.0000
Ga  0.3688  0.3688  0.0000
Ga  0.6312  0.6312  0.0000
Co  0.0779  0.5779  0.5000
Co  0.2620  0.2620  0.0000
Co  0.4221  0.9221  0.5000
Co  0.5000  0.5000  0.0000
Co  0.5779  0.0779  0.5000
Co  0.7380  0.7380  0.0000
Co  0.9221  0.4221  0.5000

Its density is 11.08 g/cm3. Its total energy is -87.21 eV for the cell shown. The total moment is 0.0 μB/cell. The value obtained for the formation energy is -0.24 eV/atom.

(11)
## PrNd2Th3N6 (PBE)

Data for PrNd2Th3N6 after structural relaxation.

a b c (Å): 8.2023 8.2023 7.3178
angles (deg): 102.77 102.77 25.86
Positions (direct):
Pr  0.0000  0.0000  0.0000
Nd  0.3332  0.3332  0.6666
Nd  0.6668  0.6668  0.3334
Th  0.0000  0.0000  0.5000
Th  0.3332  0.3332  0.1669
Th  0.6668  0.6668  0.8331
N  0.1634  0.1634  0.5921
N  0.1714  0.1714  0.0752
N  0.4965  0.4965  0.2617
N  0.5035  0.5035  0.7383
N  0.8286  0.8286  0.9248
N  0.8366  0.8366  0.4079

Its density is 9.60 g/cm3. Its total energy is -104.65 eV for the cell shown. The total moment is 0.0 μB/cell.

(12)
## Tb2ErNpO8 (PBE)

Data for Tb2ErNpO8 after structural relaxation.

a b c (Å): 3.8487 7.4294 5.3928
angles (deg): 90.00 93.49 90.00
Positions (direct):
Tb  0.0000  0.2403  0.0000
Tb  0.0000  0.7597  0.0000
Er  0.5000  0.0000  0.5000
Np  0.5000  0.5000  0.5000
O  0.0026  0.0000  0.2511
O  0.0381  0.5000  0.2749
O  0.4759  0.2754  0.7354
O  0.4759  0.7246  0.7354
O  0.5241  0.2754  0.2646
O  0.5241  0.7246  0.2646
O  0.9619  0.5000  0.7251
O  0.9974  0.0000  0.7489

Its density is 9.17 g/cm3. Its total energy is -104.86 eV for the cell shown. The total moment is 0.0 μB/cell.